Version w
Computed, not measured: a relaxed structure of LaSnCl3 at the PBE level of DFT.

Properties
* crystal system: cubic
* volume: 33.44 Å³ per atom

Unit cell a=5.509 b=5.509 c=5.509 alpha=90.00 beta=90.00 gamma=90.00
Space group Pm-3m (No. 221)
Asymmetric unit:
La: 0.000 0.000 0.000 x1
Sn: 0.500 0.500 0.500 x1
Cl: 0.000 0.500 0.500 x3


Version x
Computed, not measured: a relaxed structure of LaSnCl3 at the PBE level of DFT.

Properties
* crystal system: cubic
* volume: 35.04 Å³ per atom

Unit cell a=5.596 b=5.596 c=5.596 alpha=90.00 beta=90.00 gamma=90.00
Space group Pm-3m (No. 221)
Asymmetric unit:
La: 0.000 0.000 0.000 x1
Sn: 0.500 0.500 0.500 x1
Cl: 0.000 0.000 0.500 x3


Which one sits at the top of the stability order? version x does.


Version w
Computed, not measured: a relaxed structure of LaSn3Cl at the PBE level of DFT.

Properties
* crystal system: cubic
* volume: 45.88 Å³ per atom

Unit cell a=6.121 b=6.121 c=6.121 alpha=90.00 beta=90.00 gamma=90.00
Space group Pm-3m (No. 221)
Asymmetric unit:
La: 0.000 0.000 0.000 x1
Sn: 0.000 0.000 0.500 x3
Cl: 0.500 0.500 0.500 x1


Version x
Computed, not measured: a relaxed structure of LaSn3Cl at the PBE level of DFT.

Properties
* crystal system: cubic
* volume: 30.81 Å³ per atom

Unit cell a=5.361 b=5.361 c=5.361 alpha=90.00 beta=90.00 gamma=90.00
Space group Pm-3m (No. 221)
Asymmetric unit:
La: 0.000 0.000 0.000 x1
Sn: 0.000 0.500 0.500 x3
Cl: 0.500 0.500 0.500 x1


Which one sits at the top of the stability order? version x does.


Version w
Computed, not measured: a relaxed structure of SrLaCl4 at the PBE level of DFT.

Properties
* crystal system: monoclinic
* volume: 30.20 Å³ per atom

Unit cell a=7.786 b=6.904 c=6.751 alpha=90.00 beta=92.98 gamma=90.00
Space group P2_1/c (No. 14)
Asymmetric unit:
Sr: 0.000 0.000 0.000 x2
La: 0.500 0.000 0.500 x2
Cl: 0.157 0.140 0.371 x4
Cl: 0.324 0.649 0.348 x4


Version x
Computed, not measured: a relaxed structure of SrLaCl4 at the PBE level of DFT.

Properties
* crystal system: cubic
* volume: 26.70 Å³ per atom

Unit cell a=8.621 b=8.621 c=8.621 alpha=90.00 beta=90.00 gamma=90.00
Space group F-43m (No. 216)
Asymmetric unit:
Sr: 0.000 0.000 0.000 x4
La: 0.250 0.250 0.250 x4
Cl: 0.125 0.125 0.625 x16


Which one sits at the top of the stability order? version w does.


Version w
Computed, not measured: a relaxed structure of SrLaCl at the PBE level of DFT.

Properties
* crystal system: monoclinic
* volume: 35.18 Å³ per atom

Unit cell a=12.909 b=4.092 c=9.849 alpha=90.00 beta=125.76 gamma=90.00
Space group C2/m (No. 12)
Asymmetric unit:
Sr: 0.074 0.000 0.341 x4
La: 0.165 0.500 0.063 x4
Cl: 0.126 0.500 0.718 x4


Version x
Computed, not measured: a relaxed structure of SrLaCl at the PBE level of DFT.

Properties
* crystal system: cubic
* volume: 32.83 Å³ per atom

Unit cell a=7.331 b=7.331 c=7.331 alpha=90.00 beta=90.00 gamma=90.00
Space group F-43m (No. 216)
Asymmetric unit:
Sr: 0.000 0.000 0.000 x4
La: 0.000 0.000 0.500 x4
Cl: 0.250 0.250 0.750 x4


Version y
Computed, not measured: a relaxed structure of SrLaCl at the PBE level of DFT.

Properties
* crystal system: trigonal
* volume: 34.66 Å³ per atom

Unit cell a=3.9915 b=3.9915 c=7.5370 alpha=90.00 beta=90.00 gamma=120.00
Space group P3m1 (No. 156)
Asymmetric unit:
Sr: 0.0000 0.0000 0.0000 x1
La: 0.3333 0.6667 0.5756 x1
Cl: 0.6667 0.3333 0.2901 x1


Which one sits at the top of the stability order? version y does.